5
Lattice="5.137 0.000 0.000 0.000 5.137 0.000 0.000 0.000 4.109" Properties=species:S:1:pos:R:3 comment="Mg2VCdB (PBE, relaxed)" dft_energy_ev_per_atom=-2.53 density_g_cm3=3.41 formation_enthalpy_0k_mev_per_atom=1449 m_tot_mub_per_fu=0.31 pbc="T T T"
Mg 0.000 2.568 0.000
Mg 2.568 0.000 0.000
V 0.000 0.000 2.055
Cd 2.568 2.568 0.000
B 2.568 2.568 2.055

5
Lattice="4.719 0.000 0.000 0.000 4.719 0.000 0.000 0.000 4.688" Properties=species:S:1:pos:R:3 comment="YMgCd2B (PBE, relaxed)" dft_energy_ev_per_atom=-2.99 density_g_cm3=5.55 formation_enthalpy_0k_mev_per_atom=326 m_tot_mub_per_fu=0.00 pbc="T T T"
Y 0.000 0.000 0.000
Mg 2.360 2.360 0.000
Cd 0.000 2.360 2.344
Cd 2.360 0.000 2.344
B 2.360 2.360 2.344

6
Lattice="1.442 -8.816 0.000 1.442 8.816 0.000 0.000 0.000 2.885" Properties=species:S:1:pos:R:3 comment="MnCdB (PBE, relaxed)" dft_energy_ev_per_atom=-5.72 density_g_cm3=8.07 formation_enthalpy_0k_mev_per_atom=-133 m_tot_mub_per_fu=0.21 polymorph_energy_ev_per_atom=0.000 pbc="T T T"
Mn 1.442 7.729 2.164
Mn 1.442 -7.729 0.721
Cd 1.442 3.149 2.164
Cd 1.442 -3.149 0.721
B 1.442 0.499 2.164
B 1.442 -0.499 0.721

8
Lattice="-1.873 1.873 7.115 1.873 -1.873 7.115 1.873 1.873 -7.115" Properties=species:S:1:pos:R:3 comment="MnCdB2 (PBE, relaxed)" dft_energy_ev_per_atom=-5.35 density_g_cm3=6.29 formation_enthalpy_0k_mev_per_atom=512 m_tot_mub_per_fu=1.01 pbc="T T T"
Mn 1.873 0.936 1.779
Mn 0.000 0.936 5.336
Cd 1.873 -0.936 5.336
Cd 0.000 2.809 1.779
B 1.873 0.000 0.000
B -0.936 0.936 3.558
B 0.000 0.000 7.115
B 0.936 0.936 3.558

6
Lattice="2.884 0.000 0.000 0.000 3.838 0.000 0.000 0.000 7.531" Properties=species:S:1:pos:R:3 comment="MnCdB (PBE, relaxed)" dft_energy_ev_per_atom=-5.32 density_g_cm3=7.10 formation_enthalpy_0k_mev_per_atom=269 m_tot_mub_per_fu=0.00 polymorph_energy_ev_per_atom=0.403 pbc="T T T"
Mn 0.721 0.960 0.428
Mn 2.163 2.879 7.103
Cd 0.721 2.879 4.778
Cd 2.163 0.960 2.753
B 0.721 2.879 0.991
B 2.163 0.960 6.541

3
Lattice="2.821 0.000 0.000 0.000 2.947 0.000 0.000 0.000 4.818" Properties=species:S:1:pos:R:3 comment="MnCdB (PBE, relaxed)" dft_energy_ev_per_atom=-5.38 density_g_cm3=7.39 formation_enthalpy_0k_mev_per_atom=210 m_tot_mub_per_fu=1.15 polymorph_energy_ev_per_atom=0.343 pbc="T T T"
Mn 0.000 0.000 0.000
Cd 1.410 0.000 2.409
B 1.410 1.473 0.000

8
Lattice="-2.103 2.103 7.070 2.103 -2.103 7.070 2.103 2.103 -7.070" Properties=species:S:1:pos:R:3 comment="Mn2CdB (PBE, relaxed)" dft_energy_ev_per_atom=-5.59 density_g_cm3=6.19 formation_enthalpy_0k_mev_per_atom=888 m_tot_mub_per_fu=3.40 polymorph_energy_ev_per_atom=0.115 pbc="T T T"
Mn 0.267 1.052 1.768
Mn -1.052 1.836 5.303
Mn -0.267 3.155 1.768
Mn 1.052 2.371 5.303
Cd 2.103 0.000 3.535
Cd 0.000 0.000 7.070
B 0.000 0.000 0.000
B 0.000 2.103 3.535

4
Lattice="0.000 2.969 2.969 2.969 0.000 2.969 2.969 2.969 0.000" Properties=species:S:1:pos:R:3 comment="Mn2CdB (PBE, relaxed)" dft_energy_ev_per_atom=-5.71 density_g_cm3=7.40 formation_enthalpy_0k_mev_per_atom=774 m_tot_mub_per_fu=5.89 polymorph_energy_ev_per_atom=0.000 pbc="T T T"
Mn 1.484 1.484 1.484
Mn 4.453 4.453 4.453
Cd 0.000 0.000 0.000
B 2.969 2.969 2.969

6
Lattice="3.598 -1.459 0.000 3.598 1.459 0.000 -1.805 0.000 8.145" Properties=species:S:1:pos:R:3 comment="MnCdB (PBE, relaxed)" dft_energy_ev_per_atom=-5.45 density_g_cm3=6.92 formation_enthalpy_0k_mev_per_atom=138 m_tot_mub_per_fu=1.81 polymorph_energy_ev_per_atom=0.272 pbc="T T T"
Mn 0.102 0.000 3.299
Mn 5.288 0.000 4.846
Cd 0.434 0.000 6.920
Cd 4.956 0.000 1.225
B 2.158 0.000 3.399
B 3.232 0.000 4.746

5
Lattice="4.233 0.000 0.000 0.000 4.233 0.000 0.000 0.000 4.233" Properties=species:S:1:pos:R:3 comment="MnCdB3 (PBE, relaxed)" dft_energy_ev_per_atom=-3.18 density_g_cm3=4.37 formation_enthalpy_0k_mev_per_atom=2846 m_tot_mub_per_fu=0.19 polymorph_energy_ev_per_atom=1.966 pbc="T T T"
Mn 0.000 0.000 0.000
Cd 2.117 2.117 2.117
B 0.000 2.117 2.117
B 2.117 0.000 2.117
B 2.117 2.117 0.000

6
Lattice="3.555 -1.474 0.000 3.555 1.474 0.000 -1.464 0.000 8.392" Properties=species:S:1:pos:R:3 comment="MnCdB (PBE, relaxed)" dft_energy_ev_per_atom=-5.45 density_g_cm3=6.73 formation_enthalpy_0k_mev_per_atom=138 m_tot_mub_per_fu=1.94 polymorph_energy_ev_per_atom=0.271 pbc="T T T"
Mn 0.000 0.000 0.000
Mn 3.668 0.000 6.811
Cd 1.501 0.000 4.595
Cd 4.801 0.000 2.076
B 0.564 0.000 8.301
B 1.643 0.000 6.980

6
Lattice="-1.836 1.836 7.240 1.836 -1.836 7.240 1.836 1.836 -7.240" Properties=species:S:1:pos:R:3 comment="MnCdB (PBE, relaxed)" dft_energy_ev_per_atom=-5.39 density_g_cm3=6.06 formation_enthalpy_0k_mev_per_atom=197 m_tot_mub_per_fu=1.49 polymorph_energy_ev_per_atom=0.330 pbc="T T T"
Mn 1.836 0.000 3.620
Mn 0.000 1.836 3.620
Cd 0.000 0.000 1.368
Cd 0.000 0.000 13.112
B 0.000 0.000 4.437
B 0.000 0.000 10.044